# 1
The following is a DFT calculation (PBE) of a geometry-optimized AlTc2 structure.

Fermi-level density of states (states/eV/cell): 5.917
Total magnetic moment (Bohr magnetons per cell): 0.000
Relative energy among the computed polymorphs (meV/atom): 362
Formation energy from the elements (eV/atom): -0.05

Unit cell a=4.4695 b=4.4695 c=5.0277 alpha=90.00 beta=90.00 gamma=120.00
With the nearest neighbours (Å) after each atom.
Space group P6_3/mmc (No. 194)
Symmetry-distinct sites (fractional):
Al 0.3333 0.6667 0.2500 x2  5 Tc 2.51-2.58
Tc 0.0000 0.0000 0.0000 x2  2 Tc 2.51
Tc 0.3333 0.6667 0.7500 x2  5 Al 2.51-2.58

# 2
The following is a DFT calculation (PBE) of a geometry-optimized BeSbH3 structure.

Fermi-level density of states (states/eV/cell): 1.012
Total magnetic moment (Bohr magnetons per cell): 0.000
Relative energy among the computed polymorphs (meV/atom): 348

Unit cell a=4.0317 b=4.0317 c=4.0317 alpha=90.00 beta=90.00 gamma=90.00
With the nearest neighbours (Å) after each atom.
Space group Pm-3m (No. 221)
Symmetry-distinct sites (fractional):
Be 0.0000 0.0000 0.0000 x1  12 H 2.85
Sb 0.5000 0.5000 0.5000 x1  6 H 2.02
H 0.0000 0.5000 0.5000 x3  2 Sb 2.02

# 3
The following is a DFT calculation (PBE) of a geometry-optimized Sn2SbBr structure.

Fermi-level density of states (states/eV/cell): 4.499
Total magnetic moment (Bohr magnetons per cell): 0.000
Relative energy among the computed polymorphs (meV/atom): 241
Raw formation energy (eV per atom): 0.009

Unit cell a=8.1706 b=8.1706 c=7.9981 alpha=90.00 beta=90.00 gamma=90.00
With the nearest neighbours (Å) after each atom.
Space group I-42d (No. 122)
Symmetry-distinct sites (fractional):
Sn 0.2336 0.2500 0.1250 x8  2 Sb 2.97, 2 Br 3.15
Sb 0.0000 0.0000 0.0000 x4  4 Sn 2.97
Br 0.0000 0.0000 0.5000 x4  4 Sn 3.15

# 4
The following is a DFT calculation (PBE) of a geometry-optimized KMn2NiIr structure.

Fermi-level density of states (states/eV/cell): 10.416
Total magnetic moment (Bohr magnetons per cell): 0.337
Formation energy from the elements (eV/atom): 2.03

Unit cell a=4.3462 b=4.3462 c=4.8830 alpha=90.00 beta=90.00 gamma=90.00
With the nearest neighbours (Å) after each atom.
Space group P4/mmm (No. 123)
Symmetry-distinct sites (fractional):
K 0.0000 0.0000 0.0000 x1  2 Ni 2.44
Mn 0.0000 0.5000 0.5000 x2  2 Ni 2.17
Ni 0.0000 0.0000 0.5000 x1  4 Mn 2.17
Ir 0.5000 0.5000 0.0000 x1  4 K 3.07, 8 Mn 3.27

# 5
The following is a DFT calculation (PBE) of a geometry-optimized LiPb structure.

Fermi-level density of states (states/eV/cell): 1.283
Total magnetic moment (Bohr magnetons per cell): 0.000
Formation energy from the elements (eV/atom): -0.19

Unit cell a=3.4307 b=5.4495 c=5.1208 alpha=90.00 beta=90.00 gamma=90.00
With the nearest neighbours (Å) after each atom.
Space group Pmmn (No. 59, origin choice 2)
Symmetry-distinct sites (fractional):
Li 0.2500 0.2500 0.1007 x2  6 Pb 3.06-3.11, 4 Li 3.38
Pb 0.2500 0.7500 0.3934 x2  6 Li 3.06-3.11, 4 Pb 3.40

# 6
The following is a DFT calculation (PBE) of a geometry-optimized YCd3Ni structure.

Fermi-level density of states (states/eV/cell): 4.580
Total magnetic moment (Bohr magnetons per cell): 0.000
Relative energy among the computed polymorphs (meV/atom): 0
Formation energy from the elements (eV/atom): -0.25

Unit cell a=5.4053 b=5.7416 c=6.7974 alpha=90.00 beta=92.96 gamma=90.00
With the nearest neighbours (Å) after each atom.
Space group P2_1/m (No. 11)
Symmetry-distinct sites (fractional):
Y 0.1447 0.2500 0.3832 x2  4 Ni 2.88-3.10
Cd 0.0949 0.7500 0.1117 x2  1 Ni 2.66
Cd 0.3745 0.0018 0.7950 x4  2 Ni 2.69-2.77, 3 Cd 2.85-3.01
Ni 0.3413 0.7500 0.4611 x2  5 Cd 2.66-2.77, 2 Y 2.88-2.92

# 7
The following is a DFT calculation (PBE) of a geometry-optimized LiEr3Se4 structure.

Fermi-level density of states (states/eV/cell): 3.861
Total magnetic moment (Bohr magnetons per cell): 0.000
Relative energy among the computed polymorphs (meV/atom): 0
Raw formation energy (eV per atom): -1.719

Unit cell a=5.6754 b=5.6754 c=11.3493 alpha=90.00 beta=90.00 gamma=90.00
With the nearest neighbours (Å) after each atom.
Space group I4/mmm (No. 139)
Symmetry-distinct sites (fractional):
Li 0.0000 0.0000 0.0000 x2  6 Se 2.76-2.84
Er 0.0000 0.0000 0.5000 x2  6 Se 2.84-2.91
Er 0.0000 0.5000 0.2500 x4  6 Se 2.84
Se 0.0000 0.0000 0.2436 x4  1 Li 2.76, 5 Er 2.84-2.91
Se 0.0000 0.5000 0.0000 x4  4 Er 2.84, 2 Li 2.84

# 8
The following is a DFT calculation (PBE) of a geometry-optimized Ir3Ru structure.

Fermi-level density of states (states/eV/cell): 9.395
Total magnetic moment (Bohr magnetons per cell): 0.000
Formation energy from the elements (eV/atom): 0.01

Unit cell a=2.7538 b=8.7984 c=4.7524 alpha=90.00 beta=90.00 gamma=90.00
With the nearest neighbours (Å) after each atom.
Space group Imm2 (No. 44)
Symmetry-distinct sites (fractional):
Ir 0.0000 0.0000 0.0000 x2  8 Ir 2.71-2.75, 4 Ru 2.75
Ir 0.0000 0.2494 0.3332 x4  9 Ir 2.71-2.75, 3 Ru 2.71
Ru 0.0000 0.5000 0.9998 x2  10 Ir 2.71-2.75, 2 Ru 2.75

# 9
The following is a DFT calculation (PBE) of a geometry-optimized CdCo2C structure.

Fermi-level density of states (states/eV/cell): 5.568
Total magnetic moment (Bohr magnetons per cell): 0.000
Relative energy among the computed polymorphs (meV/atom): 0
Formation energy from the elements (eV/atom): 0.39

Unit cell a=6.0114 b=6.0114 c=5.5753 alpha=90.00 beta=90.00 gamma=90.00
With the nearest neighbours (Å) after each atom.
Space group I-42d (No. 122)
Symmetry-distinct sites (fractional):
Cd 0.0000 0.0000 0.0000 x4  8 Co 2.69-2.79, 2 C 2.79
Co 0.1269 0.2500 0.6250 x8  2 C 1.82
C 0.0000 0.0000 0.5000 x4  4 Co 1.82

# 10
The following is a DFT calculation (PBE) of a geometry-optimized BePt structure.

Fermi-level density of states (states/eV/cell): 2.070
Total magnetic moment (Bohr magnetons per cell): 0.000
Formation energy from the elements (eV/atom): -0.31

Unit cell a=4.6627 b=4.6627 c=4.6597 alpha=90.00 beta=90.00 gamma=90.00
With the nearest neighbours (Å) after each atom.
Space group P4_2/mnm (No. 136)
Symmetry-distinct sites (fractional):
Be 0.2034 0.2034 0.0000 x4  6 Pt 2.33-2.40
Pt 0.2108 0.2108 0.5000 x4  6 Be 2.33-2.40

# 11
The following is a DFT calculation (PBE) of a geometry-optimized TaBe2Si structure.

Fermi-level density of states (states/eV/cell): 11.713
Total magnetic moment (Bohr magnetons per cell): 0.002
Raw formation energy (eV per atom): 0.405

Unit cell a=2.7747 b=2.7747 c=23.9470 alpha=90.00 beta=90.00 gamma=120.00
With the nearest neighbours (Å) after each atom.
Space group R-3m (No. 166, hexagonal axes)
Symmetry-distinct sites (fractional):
Ta 0.0000 0.0000 0.0000 x3  6 Be 2.69, 6 Ta 2.77
Be 0.0000 0.0000 0.2430 x6  3 Si 2.43, 3 Ta 2.69
Si 0.0000 0.0000 0.5000 x3  6 Be 2.43

# 12
The following is a DFT calculation (PBE) of a geometry-optimized Pm4SnTe3 structure.

Fermi-level density of states (states/eV/cell): 7.872
Total magnetic moment (Bohr magnetons per cell): 0.000
Relative energy among the computed polymorphs (meV/atom): 10
Raw formation energy (eV per atom): -1.295

Unit cell a=8.9789 b=12.6912 c=4.4826 alpha=90.00 beta=90.00 gamma=90.00
With the nearest neighbours (Å) after each atom.
Space group Cmmm (No. 65)
Symmetry-distinct sites (fractional):
Pm 0.0000 0.2441 0.0000 x4  1 Sn 3.10, 5 Te 3.17-3.25
Pm 0.2413 0.0000 0.5000 x4  2 Sn 3.12, 4 Te 3.17-3.23
Sn 0.0000 0.0000 0.0000 x2  6 Pm 3.10-3.12
Te 0.0000 0.5000 0.0000 x2  6 Pm 3.23-3.25
Te 0.2500 0.2500 0.5000 x4  6 Pm 3.17

Please write out number 8 again, unchanged.
The following is a DFT calculation (PBE) of a geometry-optimized Ir3Ru structure.

Fermi-level density of states (states/eV/cell): 9.395
Total magnetic moment (Bohr magnetons per cell): 0.000
Formation energy from the elements (eV/atom): 0.01

Unit cell a=2.7538 b=8.7984 c=4.7524 alpha=90.00 beta=90.00 gamma=90.00
With the nearest neighbours (Å) after each atom.
Space group Imm2 (No. 44)
Symmetry-distinct sites (fractional):
Ir 0.0000 0.0000 0.0000 x2  8 Ir 2.71-2.75, 4 Ru 2.75
Ir 0.0000 0.2494 0.3332 x4  9 Ir 2.71-2.75, 3 Ru 2.71
Ru 0.0000 0.5000 0.9998 x2  10 Ir 2.71-2.75, 2 Ru 2.75

Among the records above, which one has the lowest Fermi-level density of states?
BeSbH3